Computed, not measured: crystalline Sm3Al7Au4 at its relaxed geometry at the PBE level of DFT.

Cell lengths 8.393, 8.393, 9.799 Å; angles 125.16, 125.16, 30.19 degrees
Positions (direct):
Sm1 0.000 0.000 0.000
Sm2 0.312 0.312 0.315
Sm3 0.688 0.688 0.685
Al1 0.000 0.000 0.500
Al2 0.151 0.151 0.423
Al3 0.325 0.325 0.966
Al4 0.499 0.499 0.708
Al5 0.501 0.501 0.292
Al6 0.675 0.675 0.034
Al7 0.849 0.849 0.577
Au1 0.128 0.128 0.853
Au2 0.345 0.345 0.721
Au3 0.655 0.655 0.279
Au4 0.872 0.872 0.147

Its formation energy is -0.6814 eV/atom. As for the space-group type: C2/m, No. 12. The total magnetic moment comes out at 0.00 μB/f.u. Its total energy is -63.00 eV/f.u.


Computed, not measured: crystalline Tm5Co2Pb2 at its relaxed geometry at the PBE level of DFT.

Cell lengths 8.985, 8.985, 7.199 Å; angles 90.00, 90.00, 49.11 degrees
Positions (direct):
Tm1 0.000 0.000 0.000
Tm2 0.067 0.707 0.674
Tm3 0.207 0.567 0.174
Tm4 0.293 0.933 0.674
Tm5 0.433 0.793 0.174
Tm6 0.500 0.500 0.500
Tm7 0.567 0.207 0.826
Tm8 0.707 0.067 0.326
Tm9 0.793 0.433 0.826
Tm10 0.933 0.293 0.326
Co1 0.115 0.885 0.388
Co2 0.385 0.615 0.888
Co3 0.615 0.385 0.112
Co4 0.885 0.115 0.612
Pb1 0.230 0.230 0.000
Pb2 0.270 0.270 0.500
Pb3 0.730 0.730 0.500
Pb4 0.770 0.770 0.000

Its formation energy is -0.3226 eV/atom. As for the space-group type: Cmce, No. 64. The total magnetic moment comes out at 0.00 μB/f.u. Its total energy is -46.89 eV/f.u.


Computed, not measured: crystalline CaAg6Ge2 at its relaxed geometry at the PBE level of DFT.

Cell lengths 4.400, 4.400, 9.145 Å; angles 90.00, 90.00, 90.00 degrees
Positions (direct):
Ca1 0.000 0.000 0.000
Ag1 0.000 0.000 0.500
Ag2 0.000 0.500 0.290
Ag3 0.000 0.500 0.710
Ag4 0.500 0.000 0.290
Ag5 0.500 0.000 0.710
Ag6 0.500 0.500 0.500
Ge1 0.500 0.500 0.133
Ge2 0.500 0.500 0.867

Its formation energy is -0.1299 eV/atom. As for the space-group type: P4/mmm, No. 123. The total magnetic moment comes out at 0.00 μB/f.u. Its total energy is -29.51 eV/f.u.


Computed, not measured: crystalline Ga3Pd3Pt2 at its relaxed geometry at the PBE level of DFT.

Cell lengths 7.329, 7.329, 5.362 Å; angles 90.00, 90.00, 120.00 degrees
Positions (direct):
Ga1 0.000 0.396 0.250
Ga2 0.000 0.604 0.750
Ga3 0.396 0.000 0.250
Ga4 0.396 0.396 0.750
Ga5 0.604 0.000 0.750
Ga6 0.604 0.604 0.250
Pd1 0.000 0.237 0.750
Pd2 0.000 0.763 0.250
Pd3 0.237 0.000 0.750
Pd4 0.237 0.237 0.250
Pd5 0.763 0.000 0.250
Pd6 0.763 0.763 0.750
Pt1 0.333 0.667 0.000
Pt2 0.333 0.667 0.500
Pt3 0.667 0.333 0.000
Pt4 0.667 0.333 0.500

Its formation energy is -0.5747 eV/atom. As for the space-group type: P6_3/mcm, No. 193. The total magnetic moment comes out at 0.00 μB/f.u. Its distance to the lowest polymorph of the same formula is 0.000 eV per atom. Its total energy is -41.34 eV/f.u.


Question: Number 1 is which compound?
Answer: Sm3Al7Au4